Below is a relaxed Rb2AgPdI6 crystal, with properties calculated at the PBE level.

Output
N(E_F)	3.33	states/eV/cell
raw formation energy	-0.69	eV per atom

```
10
Lattice="-4.075 4.075 5.753 4.075 -4.075 5.753 4.075 4.075 -5.753" Properties=species:S:1:pos:R:3 pbc="T T T"
Rb 4.075 0.000 2.876
Rb 0.000 4.075 2.876
Ag 0.000 0.000 0.000
Pd 0.000 0.000 5.753
I 0.000 0.000 2.956
I 2.104 2.104 0.000
I 1.971 -1.971 5.753
I -1.971 1.971 5.753
I 1.971 1.971 5.753
I 0.000 0.000 8.550
```

Below is a relaxed Rb3Ag2PdI6 crystal, with properties calculated at the PBE level.

Output
N(E_F)	4.55	states/eV/cell
raw formation energy	-0.69	eV per atom

```
12
Lattice="8.711 0.000 0.000 -4.355 7.544 0.000 0.000 0.000 9.256" Properties=species:S:1:pos:R:3 pbc="T T T"
Rb 0.000 0.000 0.000
Rb 0.000 5.029 5.874
Rb 4.355 2.515 3.381
Ag 0.000 5.029 2.328
Ag 4.355 2.515 6.927
Pd 0.000 0.000 4.628
I 0.000 2.322 2.834
I -2.345 6.383 2.834
I 2.011 1.161 6.422
I 2.345 6.383 2.834
I 6.700 1.161 6.422
I 4.355 5.222 6.422
```

Below is a relaxed AgSb2PdI crystal, with properties calculated at the PBE level.

Output
ΔE to the lowest computed polymorph	0.000	eV per atom
N(E_F)	5.25	states/eV/cell
raw formation energy	0.46	eV per atom

```
5
Lattice="5.211 0.000 0.000 0.000 5.211 0.000 0.000 0.000 5.670" Properties=species:S:1:pos:R:3 pbc="T T T"
Ag 0.000 0.000 0.000
Sb 0.000 2.605 2.835
Sb 2.605 0.000 2.835
Pd 2.605 2.605 2.835
I 2.605 2.605 0.000
```

Below is a relaxed AgSnPdI2 crystal, with properties calculated at the PBE level.

Output
N(E_F)	5.69	states/eV/cell
raw formation energy	0.56	eV per atom

```
5
Lattice="6.133 0.000 0.000 0.000 6.133 0.000 0.000 0.000 5.236" Properties=species:S:1:pos:R:3 pbc="T T T"
Ag 0.000 0.000 0.000
Sn 0.000 0.000 2.618
Pd 3.067 3.067 0.000
I 0.000 3.067 2.618
I 3.067 0.000 2.618
```

Below is a relaxed TcAgPdI2 crystal, with properties calculated at the PBE level.

Output
N(E_F)	2.44	states/eV/cell
raw formation energy	1.33	eV per atom

```
5
Lattice="5.533 0.000 0.000 0.000 5.533 0.000 0.000 0.000 5.275" Properties=species:S:1:pos:R:3 pbc="T T T"
Tc 0.000 0.000 0.000
Ag 0.000 0.000 2.637
Pd 2.767 2.767 0.000
I 0.000 2.767 2.637
I 2.767 0.000 2.637
```

Below is a relaxed AgTe2PdI crystal, with properties calculated at the PBE level.

Output
ΔE to the lowest computed polymorph	0.000	eV per atom
N(E_F)	7.04	states/eV/cell
raw formation energy	0.37	eV per atom

```
5
Lattice="5.317 0.000 0.000 0.000 5.317 0.000 0.000 0.000 5.556" Properties=species:S:1:pos:R:3 pbc="T T T"
Ag 0.000 0.000 0.000
Te 0.000 2.659 2.778
Te 2.659 0.000 2.778
Pd 2.659 2.659 2.778
I 2.659 2.659 0.000
```

Question: What is the formula in the fourth record?
Answer: AgSnPdI2

Question: Which value of N(E_F) does entry 2 give?
Answer: 4.55 states/eV/cell

Question: Which value of N(E_F) does entry 1 give?
Answer: 3.33 states/eV/cell

Copy entry 1 word for word.
Below is a relaxed Rb2AgPdI6 crystal, with properties calculated at the PBE level.

Output
N(E_F)	3.33	states/eV/cell
raw formation energy	-0.69	eV per atom

```
10
Lattice="-4.075 4.075 5.753 4.075 -4.075 5.753 4.075 4.075 -5.753" Properties=species:S:1:pos:R:3 pbc="T T T"
Rb 4.075 0.000 2.876
Rb 0.000 4.075 2.876
Ag 0.000 0.000 0.000
Pd 0.000 0.000 5.753
I 0.000 0.000 2.956
I 2.104 2.104 0.000
I 1.971 -1.971 5.753
I -1.971 1.971 5.753
I 1.971 1.971 5.753
I 0.000 0.000 8.550
```